1.
VASP calculation (GGA-PBE) on an optimized crystal structure of Nd2MgAg4.

abc: 4.944 4.944 15.522
angles: 90.00 90.00 90.00
Space group I4/mmm (No. 139)
Symmetry-distinct sites (fractional):
Nd: 0.000 0.000 0.132
Mg: 0.000 0.000 0.500
Ag: 0.000 0.000 0.328
Ag: 0.000 0.500 0.000

Summary:
Density   6.51 g/cm3
Calculated formation energy   2.9 kcal/mol of atoms
Size of the total moment   0.0 μB per cell



2.
VASP calculation (GGA-PBE) on an optimized crystal structure of Nd2Mg15Ag2.

abc: 10.1316 10.1316 15.1294
angles: 90.00 90.00 120.00
Space group R-3m (No. 166, hexagonal axes)
Symmetry-distinct sites (fractional):
Nd: 0.0000 0.0000 0.1732
Mg: 0.0000 0.2968 0.5000
Mg: 0.0000 0.5000 0.0000
Mg: 0.0041 0.5021 0.6513
Ag: 0.0000 0.0000 0.4000

Summary:
Density   3.22 g/cm3
Calculated formation energy   -1.5 kcal/mol of atoms
Size of the total moment   0.0 μB per cell



3.
VASP calculation (GGA-PBE) on an optimized crystal structure of NdMg2Ag4.

abc: 7.192 7.192 5.639
angles: 90.00 90.00 90.00
Space group I4/mmm (No. 139)
Symmetry-distinct sites (fractional):
Nd: 0.000 0.000 0.000
Mg: 0.000 0.500 0.250
Ag: 0.195 0.195 0.500

Summary:
Density   7.11 g/cm3
Calculated formation energy   -6.2 kcal/mol of atoms
Size of the total moment   0.0 μB per cell



4.
VASP calculation (GGA-PBE) on an optimized crystal structure of NdMg6Ag4.

abc: 7.9601 7.9601 4.3500
angles: 90.00 90.00 120.00
Space group P-6m2 (No. 187)
Symmetry-distinct sites (fractional):
Nd: 0.0000 0.0000 0.0000
Mg: 0.2001 0.4002 0.5000
Mg: 0.5335 0.0670 0.0000
Ag: 0.3333 0.6667 0.0000
Ag: 0.4000 0.2000 0.5000

Summary:
Density   5.02 g/cm3
Calculated formation energy   -4.5 kcal/mol of atoms
Size of the total moment   0.0 μB per cell



Question: The lowest density belongs to which entry?
Answer: Nd2Mg15Ag2



Question: calculated formation energy of number 4 (NdMg6Ag4)?
Answer: -4.5 kcal/mol of atoms



Question: Look up the calculated formation energy of the second one.
Answer: -1.5 kcal/mol of atoms